A plane-wave DFT calculation with PBE was carried out for a geometry-optimized MnCuTe2N structure.

DOS at the Fermi energy, states/eV per atom: 0.77
Symmetry: P4/mmm (123)
Uncorrected formation energy, eV/atom: 0.812
Total magnetization, μB/atom: 0.675

Unit cell a=5.419 b=5.419 c=3.534 alpha=90.00 beta=90.00 gamma=90.00
Atoms (fractional coordinates):
Mn (0.000, 0.000, 0.000)
Cu (0.500, 0.500, 0.500)
Te (0.000, 0.500, 0.500)
Te (0.500, 0.000, 0.500)
N (0.500, 0.500, 0.000)